Compound: CsK2Na
Source: Alexandria
Functional: GGA-PBE
Structure: optimized geometry

Values from the calculation:
N(E_F)   0.740 states/eV per atom
SG   C2/m
Energy above the most stable polymorph in this dataset   0.01 eV per formula unit
Energy of formation   0.02 eV/atom

Geometry as POSCAR:
```
CsK2Na
1.0
-0.940 4.809 0.713
-7.187 -1.109 -1.993
2.067 -3.311 7.871
K Na Cs
2 1 1
Direct
0.535 0.536 0.071 K
0.965 0.964 0.929 K
0.250 0.750 0.500 Na
0.750 0.250 0.500 Cs
```



Compound: MnZnFe3
Source: Alexandria
Functional: GGA-PBE
Structure: optimized geometry

Values from the calculation:
N(E_F)   1.112 states/eV per atom
SG   Pm-3m
Energy above the most stable polymorph in this dataset   4.49 eV per formula unit
Energy of formation   1.25 eV/atom

Geometry as POSCAR:
```
MnZnFe3
1.0
4.402 0.000 0.000
0.000 4.402 0.000
0.000 0.000 4.402
Zn Fe Mn
1 3 1
Direct
0.000 0.000 0.000 Zn
0.500 0.000 0.000 Fe
0.000 0.500 0.000 Fe
0.000 0.000 0.500 Fe
0.500 0.500 0.500 Mn
```



N(E_F) of number 2 (MnZnFe3)? 1.112 states/eV per atom